This record from Alexandria via LeMat-Bulk describes an optimized crystal structure of SrTe2P. The functional is PBE-GGA.

Structure (POSCAR):
```
SrTe2P
1.0
-3.217 3.217 7.765
3.217 -3.217 7.765
3.217 3.217 -7.765
Sr Te P
2 4 2
Direct
0.000 0.000 0.000
0.750 0.250 0.500
0.204 0.625 0.079
0.375 0.454 0.579
0.546 0.125 0.921
0.875 0.796 0.421
0.250 0.750 0.500
0.500 0.500 0.000
```

Values from the calculation:
Total DFT energy (no corrections) in eV for the cell shown: -29.638
E above lowest polymorph in kJ per mole of atoms: 28.55
Total moment in μB/f.u.: 0.00
E_form (uncorrected) in eV per atom: -0.36
Crystal system: tetragonal



This record from Alexandria via LeMat-Bulk describes an optimized crystal structure of Tl4In5Pb. The functional is PBE-GGA.

Structure (POSCAR):
```
Tl4In5Pb
1.0
3.700 0.000 0.000
0.000 3.700 0.000
0.000 0.000 21.237
Tl In Pb
4 5 1
Direct
0.000 0.000 0.098
0.000 0.000 0.296
0.000 0.000 0.704
0.000 0.000 0.902
0.500 0.500 0.000
0.500 0.500 0.196
0.500 0.500 0.396
0.500 0.500 0.604
0.500 0.500 0.804
0.000 0.000 0.500
```

Values from the calculation:
Total DFT energy (no corrections) in eV for the cell shown: -26.678
Total moment in μB/f.u.: 0.00
ΔH_f (0 K) in eV per formula unit: 0.2
Crystal system: tetragonal



This record from Alexandria via LeMat-Bulk describes an optimized crystal structure of ZnSiSb2I. The functional is PBE-GGA.

Structure (POSCAR):
```
ZnSiSb2I
1.0
5.199 0.000 0.000
0.000 5.199 0.000
0.000 0.000 5.533
Zn Si Sb I
1 1 2 1
Direct
0.000 0.000 0.000
0.500 0.500 0.500
0.000 0.500 0.000
0.500 0.000 0.000
0.000 0.000 0.500
```

Values from the calculation:
Total DFT energy (no corrections) in eV for the cell shown: -12.338
E above lowest polymorph in kJ per mole of atoms: 18.69
Total moment in μB/f.u.: 0.00
E_form (uncorrected) in eV per atom: 0.83
Crystal system: tetragonal



This record from Alexandria via LeMat-Bulk describes an optimized crystal structure of SmGdAgSn. The functional is PBE-GGA.

Structure (POSCAR):
```
SmGdAgSn
1.0
0.000 3.755 3.755
3.755 0.000 3.755
3.755 3.755 0.000
Sm Gd Ag Sn
1 1 1 1
Direct
0.000 0.000 0.000
0.500 0.500 0.500
0.250 0.250 0.250
0.750 0.750 0.750
```

Values from the calculation:
Total DFT energy (no corrections) in eV for the cell shown: -27.795
Total moment in μB/f.u.: 7.91
ΔH_f (0 K) in eV per formula unit: -2.1
Crystal system: cubic



Q: What is the total moment in the first record?
A: 0.00 μB/f.u.



Q: Which value of total moment does entry 2 give?
A: 0.00 μB/f.u.



What did the fourth record say?
This record from Alexandria via LeMat-Bulk describes an optimized crystal structure of SmGdAgSn. The functional is PBE-GGA.

Structure (POSCAR):
```
SmGdAgSn
1.0
0.000 3.755 3.755
3.755 0.000 3.755
3.755 3.755 0.000
Sm Gd Ag Sn
1 1 1 1
Direct
0.000 0.000 0.000
0.500 0.500 0.500
0.250 0.250 0.250
0.750 0.750 0.750
```

Values from the calculation:
Total DFT energy (no corrections) in eV for the cell shown: -27.795
Total moment in μB/f.u.: 7.91
ΔH_f (0 K) in eV per formula unit: -2.1
Crystal system: cubic



Q: total moment of number 2 (Tl4In5Pb)?
A: 0.00 μB/f.u.